Li3PaV2S6: optimized geometry, PBE.

It has space group C2/m (No. 12), with a = 6.228 Å, b = 10.356 Å, c = 6.616 Å, α = 90.00°, β = 107.04° and γ = 90.00°. Symmetry generates all atoms from Li at (0.000, 0.000, 0.000), Li at (0.000, 0.330, 0.000), Pa at (0.000, 0.500, 0.500), V at (0.000, 0.133, 0.500), S at (0.240, 0.180, 0.270) and S at (0.241, 0.000, 0.761).

As for the density of states at the Fermi level: 1.09 states/eV per cell. As for the formation energy (no corrections): -1.254 eV per atom. The value obtained for the magnetization is 2.014 μB per formula unit.